No. 1
LiCaSn2Se4: relaxed, PBE.

The structure in POSCAR format:
```
LiCaSn2Se4
1.0
-2.7134 -2.8508 1.2321
3.4195 -5.0260 -4.0984
5.0755 -3.1331 3.9282
Sn Se Li Ca
2 4 1 1
Direct
0.5000 0.0000 0.5000
0.0000 0.0000 0.0000
0.0000 0.7465 0.7515
0.5000 0.7442 0.2512
0.5000 0.2558 0.7488
0.0000 0.2535 0.2485
0.5000 0.5000 0.0000
0.0000 0.5000 0.5000
```

## Properties
The value obtained for the total energy is -4.15 eV per atom. The calculation puts the size of the total moment at 0.00 μB/f.u. The theoretical density comes out at 4.88 Mg/m³. The value obtained for the density of states at the Fermi level is 0.4071 states/eV per atom. The value obtained for the formation energy from raw total energies is -0.913 eV per atom.

=====

No. 2
LiCa2SnSe4: relaxed, PBE.

The structure in POSCAR format:
```
LiCa2SnSe4
1.0
4.1495 0.0000 0.0000
0.0000 7.1346 0.1922
0.0000 -2.4289 6.6985
Ca Sn Se Li
2 1 4 1
Direct
0.5000 0.0000 0.5000
0.0000 0.5000 0.5000
0.0000 0.0000 0.0000
0.5000 0.2530 0.2402
0.5000 0.7470 0.7598
0.0000 0.2491 0.7604
0.0000 0.7509 0.2396
0.5000 0.5000 0.0000
```

## Properties
The value obtained for the total energy is -4.27 eV per atom. The calculation puts the size of the total moment at 0.00 μB/f.u. The theoretical density comes out at 4.33 Mg/m³. The value obtained for the density of states at the Fermi level is 0.5151 states/eV per atom. The value obtained for the formation energy from raw total energies is -1.286 eV per atom.

=====

No. 3
Li3Ca2TaSe6: relaxed, PBE.

The structure in POSCAR format:
```
Li3Ca2TaSe6
1.0
7.0307 -0.0319 0.0187
-3.5413 6.0738 0.0187
-1.1473 -1.9866 6.3601
Ca Li Ta Se
2 3 1 6
Direct
0.6694 0.3306 0.0000
0.3306 0.6694 0.0000
0.1480 0.8520 0.5000
0.8520 0.1480 0.5000
0.5000 0.5000 0.5000
0.0000 0.0000 0.0000
0.6201 0.9191 0.7505
0.9191 0.6201 0.7505
0.2276 0.2276 0.7609
0.0809 0.3799 0.2495
0.7724 0.7724 0.2391
0.3799 0.0809 0.2495
```

## Properties
The value obtained for the total energy is -4.86 eV per atom. The calculation puts the size of the total moment at 0.00 μB/f.u. The theoretical density comes out at 4.62 Mg/m³. The value obtained for the formation energy from raw total energies is -1.316 eV per atom.

=====

No. 4
LiCa2TbSe4: relaxed, PBE.

The structure in POSCAR format:
```
LiCa2TbSe4
1.0
4.1619 0.0000 0.0000
0.0000 7.1178 0.1607
0.0000 -2.4530 6.7098
Li Se Ca Tb
1 4 2 1
Direct
0.5000 0.5000 0.0000
0.5000 0.7512 0.7612
0.5000 0.2488 0.2388
0.0000 0.2502 0.7575
0.0000 0.7498 0.2425
0.5000 0.0000 0.5000
0.0000 0.5000 0.5000
0.0000 0.0000 0.0000
```

## Properties
The value obtained for the total energy is -4.90 eV per atom. The calculation puts the size of the total moment at 0.00 μB/f.u. The theoretical density comes out at 4.66 Mg/m³. The value obtained for the formation energy from raw total energies is -1.835 eV per atom.

=====

No. 5
LiCa3Tb4Se8: relaxed, PBE.

The structure in POSCAR format:
```
LiCa3Tb4Se8
1.0
-0.0316 -4.0045 7.1475
7.8580 2.3145 1.3314
-5.6887 5.6940 -1.5306
Se Li Ca Tb
8 1 3 4
Direct
0.7509 0.7528 0.5019
0.2481 0.7510 0.4962
0.2451 0.2491 0.9971
0.7549 0.7509 0.0029
0.2480 0.7509 0.0029
0.7520 0.2491 0.9971
0.7519 0.2490 0.5038
0.2491 0.2472 0.4981
0.0000 0.5000 0.0000
0.5000 0.5000 0.0000
0.5000 0.5000 0.5000
0.0000 0.5000 0.5000
0.0000 0.0000 0.5000
0.0000 0.0000 0.0000
0.5000 0.0000 0.5000
0.5000 0.0000 0.0000
```

## Properties
The value obtained for the total energy is -5.24 eV per atom. The calculation puts the size of the total moment at 0.00 μB/f.u. The theoretical density comes out at 5.84 Mg/m³. The value obtained for the density of states at the Fermi level is 0.3040 states/eV per atom. The value obtained for the formation energy from raw total energies is -1.846 eV per atom.

=====

No. 6
LiCa3Tb3Se8: relaxed, PBE.

The structure in POSCAR format:
```
LiCa3Tb3Se8
1.0
-6.9157 2.0805 3.9617
0.0140 -0.6195 -8.2135
0.5998 -6.8562 4.6477
Li Se Ca Tb
1 8 3 3
Direct
0.0000 0.0000 0.5000
0.2519 0.5037 0.2555
0.7551 0.0087 0.2637
0.7552 0.5104 0.2639
0.7481 0.4963 0.7445
0.2449 0.9913 0.7363
0.2448 0.4896 0.7361
0.7464 0.9913 0.7363
0.2536 0.0087 0.2637
0.0000 0.0000 0.0000
0.5000 0.5000 0.0000
0.0000 0.5000 0.0000
0.5000 0.0000 0.5000
0.5000 0.5000 0.5000
0.0000 0.5000 0.5000
```

## Properties
The value obtained for the total energy is -5.13 eV per atom. The calculation puts the size of the total moment at 0.00 μB/f.u. The theoretical density comes out at 5.13 Mg/m³. The value obtained for the formation energy from raw total energies is -1.819 eV per atom.

=====

No. 7
LiCa4Tb3Se8: relaxed, PBE.

The structure in POSCAR format:
```
LiCa4Tb3Se8
1.0
8.2541 0.0000 0.0000
0.0000 8.2900 0.0197
-4.1271 -4.1233 5.8395
Ca Se Tb Li
4 8 3 1
Direct
0.0000 0.0000 0.0000
0.5000 0.0000 0.5000
0.5000 0.0000 0.0000
0.0000 0.0000 0.5000
0.2464 0.7422 0.9957
0.7488 0.7463 0.4975
0.7493 0.7422 0.9957
0.2507 0.2578 0.0043
0.2465 0.7422 0.4930
0.7535 0.2578 0.5070
0.2512 0.2537 0.5025
0.7536 0.2578 0.0043
0.5000 0.5000 0.0000
0.5000 0.5000 0.5000
0.0000 0.5000 0.5000
0.0000 0.5000 0.0000
```

## Properties
The value obtained for the total energy is -5.11 eV per atom. The calculation puts the size of the total moment at 0.00 μB/f.u. The theoretical density comes out at 5.29 Mg/m³. The value obtained for the density of states at the Fermi level is 0.2356 states/eV per atom. The value obtained for the formation energy from raw total energies is -1.875 eV per atom.

=====

No. 8
LiCaTbSe3: relaxed, PBE.

The structure in POSCAR format:
```
LiCaTbSe3
1.0
-0.9114 -3.8731 0.9225
6.2628 -0.1128 5.7142
-6.8789 2.7730 4.8464
Ca Se Li Tb
2 6 2 2
Direct
0.7500 0.8175 0.7688
0.2500 0.1825 0.2312
0.7500 0.4273 0.1673
0.2500 0.1032 0.8696
0.7500 0.8968 0.1304
0.2500 0.5727 0.8327
0.2500 0.7806 0.4982
0.7500 0.2194 0.5018
0.2500 0.0847 0.5839
0.7500 0.9153 0.4161
0.2500 0.6678 0.1702
0.7500 0.3322 0.8298
```

## Properties
The value obtained for the total energy is -4.90 eV per atom. The calculation puts the size of the total moment at 0.00 μB/f.u. The theoretical density comes out at 4.90 Mg/m³. The value obtained for the formation energy from raw total energies is -1.734 eV per atom.